Density functional theory data (PBE) for a geometry-optimized Pm2PaBi3 structure.

a = 9.1080 Å, b = 12.8520 Å, c = 27.2179 Å
α = 90.00°, β = 90.00°, γ = 90.00°
Space group Fddd (No. 70, origin choice 2)
Inequivalent atoms, fractional coordinates:
Pm  0.1250  0.1250  0.0428 x16
Pm  0.1250  0.1250  0.3741 x16
Pa  0.1250  0.1250  0.5414 x16
Bi  0.1193  0.3750  0.8750 x16
Bi  0.1226  0.3725  0.7094 x32


Density functional theory data (PBE) for a geometry-optimized Pm3PaBi5 structure.

a = 9.9437 Å, b = 9.9437 Å, c = 6.4116 Å
α = 90.00°, β = 90.00°, γ = 120.00°
Space group P6_3/mcm (No. 193)
Inequivalent atoms, fractional coordinates:
Pm  0.0000  0.3824  0.2500 x6
Pa  0.0000  0.0000  0.0000 x2
Bi  0.0000  0.2770  0.7500 x6
Bi  0.3333  0.6667  0.0000 x4


Density functional theory data (PBE) for a geometry-optimized PmPaBi structure.

offset from the most stable computed form: 0 meV/atom

a = 4.1675 Å, b = 4.1675 Å, c = 22.6679 Å
α = 90.00°, β = 90.00°, γ = 90.00°
Space group I4/mmm (No. 139)
Inequivalent atoms, fractional coordinates:
Pm  0.0000  0.0000  0.1254 x4
Pa  0.0000  0.0000  0.2762 x4
Bi  0.0000  0.0000  0.4263 x4


Density functional theory data (PBE) for a geometry-optimized Pm2PrPaBi5 structure.

a = 5.6055 Å, b = 5.6055 Å, c = 12.1299 Å
α = 90.00°, β = 90.00°, γ = 90.00°
Space group P4/mmm (No. 123)
Inequivalent atoms, fractional coordinates:
Pm  0.0000  0.0000  0.2329 x2
Pr  0.5000  0.5000  0.5000 x1
Pa  0.5000  0.5000  0.0000 x1
Bi  0.0000  0.0000  0.5000 x1
Bi  0.0000  0.5000  0.0000 x2
Bi  0.5000  0.5000  0.2500 x2


| no. | formation energy (meV per atom) |
| --- | --- |
| 1 | -642.7 |
| 2 | -678.4 |
| 3 | -49.9 |
| 4 | 2.4 |